# 1
Density functional theory data (PBE) for crystalline FeTcBr2 at its relaxed geometry.

a b c (Å): 8.157 8.157 8.157
angles (deg): 23.10 23.10 23.10
Atoms (fractional coordinates):
Tc  0.750  0.750  0.750
Br  0.993  0.993  0.993
Br  0.507  0.507  0.507
Fe  0.250  0.250  0.250

Output
The value obtained for the density of states at the Fermi level is 0.75 states/eV/atom. For the energy above the most stable polymorph in this dataset, the calculation gives 561.7 meV/atom. Its total energy is -19.31 eV per cell. The formation energy (no corrections) comes out at 715 meV/atom.

# 2
Density functional theory data (PBE) for crystalline TbZnRh at its relaxed geometry.

a b c (Å): 4.013 4.013 7.766
angles (deg): 104.97 104.97 90.00
Atoms (fractional coordinates):
Zn  0.500  0.000  0.000
Zn  0.000  0.500  0.000
Tb  0.672  0.672  0.345
Tb  0.328  0.328  0.655
Rh  0.880  0.880  0.761
Rh  0.120  0.120  0.239

Output
The value obtained for the density of states at the Fermi level is 0.46 states/eV/atom. Its total energy is -30.49 eV per cell. As for the energy relative to the elements: -2.0 eV per formula unit.

# 3
Density functional theory data (PBE) for crystalline Hf2RuO at its relaxed geometry.

a b c (Å): 6.136 6.136 5.657
angles (deg): 57.16 57.16 90.00
Atoms (fractional coordinates):
Hf  0.193  0.625  0.250
Hf  0.375  0.443  0.750
Hf  0.875  0.807  0.750
Hf  0.557  0.125  0.250
O  0.250  0.750  0.500
O  0.500  0.500  0.000
Ru  0.000  0.000  0.000
Ru  0.750  0.250  0.500

Output
The value obtained for the density of states at the Fermi level is 0.17 states/eV/atom. Its total energy is -77.80 eV per cell. The formation energy (no corrections) comes out at -1190 meV/atom.

# 4
Density functional theory data (PBE) for crystalline LiCuRu2 at its relaxed geometry.

a b c (Å): 5.599 5.599 5.599
angles (deg): 152.30 136.04 52.75
Atoms (fractional coordinates):
Li  0.250  0.750  0.500
Ru  0.964  0.964  0.000
Ru  0.536  0.536  0.000
Cu  0.750  0.250  0.500

Output
The value obtained for the density of states at the Fermi level is 0.87 states/eV/atom. For the energy above the most stable polymorph in this dataset, the calculation gives 73.3 meV/atom. Its total energy is -23.71 eV per cell. As for the energy relative to the elements: 0.8 eV per formula unit.